The following is a PBE calculation of an optimized crystal structure of ZrTcRu, from Alexandria via LeMat-Bulk.

Computed properties:
For the density of states at the Fermi level, the calculation gives 0.82 states/eV per atom. The formation energy is -0.19 eV per atom. Its relative energy among the computed polymorphs is 140 meV/atom. The value obtained for the final energy is -9.588 eV per atom.

Unit cell a=5.274 b=5.274 c=6.696 alpha=126.17 beta=126.17 gamma=48.14
Sites, in units of the cell vectors:
1 Zr 0.063 0.063 0.314
2 Zr 0.937 0.937 0.686
3 Tc 0.348 0.348 0.931
4 Tc 0.652 0.652 0.069
5 Ru 0.331 0.331 0.290
6 Ru 0.669 0.669 0.710


The following is a PBE calculation of an optimized crystal structure of ZrTcRu, from Alexandria via LeMat-Bulk.

Computed properties:
For the density of states at the Fermi level, the calculation gives 0.98 states/eV per atom. The formation energy is -0.09 eV per atom. Its relative energy among the computed polymorphs is 237 meV/atom. The value obtained for the final energy is -9.491 eV per atom.

Unit cell a=5.144 b=5.144 c=5.359 alpha=113.84 beta=113.84 gamma=52.66
Sites, in units of the cell vectors:
1 Zr 0.167 0.167 0.284
2 Zr 0.833 0.833 0.716
3 Tc 0.500 0.500 0.000
4 Tc 0.500 0.500 0.500
5 Ru 0.153 0.153 0.781
6 Ru 0.847 0.847 0.219


The following is a PBE calculation of an optimized crystal structure of ZrTcRu, from Alexandria via LeMat-Bulk.

Computed properties:
For the density of states at the Fermi level, the calculation gives 1.25 states/eV per atom. The formation energy is -0.33 eV per atom. Its relative energy among the computed polymorphs is 0 meV/atom. The value obtained for the final energy is -9.728 eV per atom.

Unit cell a=5.246 b=5.246 c=5.246 alpha=121.68 beta=118.27 gamma=90.07
Sites, in units of the cell vectors:
1 Zr 0.372 0.122 0.250
2 Zr 0.628 0.878 0.750
3 Tc 0.000 0.000 0.500
4 Tc 0.000 0.500 0.000
5 Ru 0.000 0.500 0.500
6 Ru 0.500 0.500 0.000


Copy entry 2 word for word.
The following is a PBE calculation of an optimized crystal structure of ZrTcRu, from Alexandria via LeMat-Bulk.

Computed properties:
For the density of states at the Fermi level, the calculation gives 0.98 states/eV per atom. The formation energy is -0.09 eV per atom. Its relative energy among the computed polymorphs is 237 meV/atom. The value obtained for the final energy is -9.491 eV per atom.

Unit cell a=5.144 b=5.144 c=5.359 alpha=113.84 beta=113.84 gamma=52.66
Sites, in units of the cell vectors:
1 Zr 0.167 0.167 0.284
2 Zr 0.833 0.833 0.716
3 Tc 0.500 0.500 0.000
4 Tc 0.500 0.500 0.500
5 Ru 0.153 0.153 0.781
6 Ru 0.847 0.847 0.219